Below is a relaxed structure of PmSb2IO4, with properties calculated at the GGA-PBE level.

Summary:
Volume = 146 Å³ per cell
Symmetry = P4/mmm (123)

Cell: 3.8998 3.8998 9.6134 Å, 90.00 90.00 90.00°
Atoms (fractional coordinates):
Pm 0.0000 0.0000 0.0000
Sb 0.5000 0.5000 0.2591
Sb 0.5000 0.5000 0.7409
I 0.0000 0.0000 0.5000
O 0.0000 0.5000 0.1531
O 0.0000 0.5000 0.8469
O 0.5000 0.0000 0.1531
O 0.5000 0.0000 0.8469

***

Below is a relaxed structure of Pm2SmIO8, with properties calculated at the GGA-PBE level.

Summary:
Volume = 186 Å³ per cell
Symmetry = Cmmm (65)
Fermi-level density of states = 0.00 states/eV/atom

Cell: 5.1537 5.1537 7.0170 Å, 90.00 90.00 90.54°
Atoms (fractional coordinates):
Pm 0.0000 0.0000 0.2482
Pm 0.0000 0.0000 0.7518
Sm 0.5000 0.5000 0.5000
I 0.5000 0.5000 0.0000
O 0.1904 0.1904 0.5000
O 0.2388 0.2388 0.0000
O 0.3226 0.6774 0.2024
O 0.3226 0.6774 0.7976
O 0.6774 0.3226 0.2024
O 0.6774 0.3226 0.7976
O 0.7612 0.7612 0.0000
O 0.8096 0.8096 0.5000

***

Below is a relaxed structure of SrPmIO2, with properties calculated at the GGA-PBE level.

Summary:
Volume = 257 Å³ per cell
Symmetry = P2_1/m (11)
Fermi-level density of states = 0.00 states/eV/atom

Cell: 7.3942 4.3556 8.3101 Å, 90.00 106.24 90.00°
Atoms (fractional coordinates):
Sr 0.1517 0.2500 0.4165
Sr 0.8483 0.7500 0.5835
Pm 0.1410 0.2500 0.9081
Pm 0.8590 0.7500 0.0919
I 0.4624 0.7500 0.7550
I 0.5376 0.2500 0.2450
O 0.0051 0.7500 0.3601
O 0.0273 0.7500 0.8983
O 0.9727 0.2500 0.1017
O 0.9949 0.2500 0.6399

***

Below is a relaxed structure of SrPmIO6, with properties calculated at the GGA-PBE level.

Summary:
Volume = 291 Å³ per cell
Symmetry = P-31c (163)
Fermi-level density of states = 0.00 states/eV/atom

Cell: 5.7905 5.7905 10.0331 Å, 90.00 90.00 120.00°
Atoms (fractional coordinates):
Sr 0.0000 0.0000 0.0000
Sr 0.0000 0.0000 0.5000
Pm 0.3333 0.6667 0.2500
Pm 0.6667 0.3333 0.7500
I 0.3333 0.6667 0.7500
I 0.6667 0.3333 0.2500
O 0.0577 0.3985 0.6423
O 0.0577 0.6592 0.8577
O 0.3408 0.3985 0.8577
O 0.3408 0.9423 0.6423
O 0.3985 0.0577 0.1423
O 0.3985 0.3408 0.3577
O 0.6015 0.6592 0.6423
O 0.6015 0.9423 0.8577
O 0.6592 0.0577 0.3577
O 0.6592 0.6015 0.1423
O 0.9423 0.3408 0.1423
O 0.9423 0.6015 0.3577

***

Results for uncorrected formation energy: -180.39, -217.78, -265.96, -179.49 (in kJ per mole of atoms, following the order of the records).